Record 1
Tl2Se3Br8 | PBE | optimized geometry

Summary:
As for the density of states at the Fermi level: 8.03 states/eV per cell. The value obtained for the magnetization is 1.338 μB/cell. The calculation puts the total energy at -2.382 eV per atom. Its space-group type is C2/m. The formation energy from raw total energies comes out at -0.184 eV/atom.

The structure in extended XYZ format:
```
13
Lattice="5.792 -3.640 0.000 5.792 3.640 0.000 -1.516 0.000 11.412" Properties=species:S:1:pos:R:3 pbc="T T T"
Tl 0.983 0.000 3.977
Tl 9.086 0.000 7.435
Se 5.792 1.163 0.000
Se 5.035 0.000 5.706
Se 5.792 -1.163 0.000
Br 3.806 1.814 4.354
Br 1.555 0.000 0.917
Br 6.263 1.814 7.059
Br 3.087 0.000 9.253
Br 6.982 0.000 2.160
Br 3.806 -1.814 4.354
Br 8.514 0.000 10.496
Br 6.263 -1.814 7.059
```

---

Record 2
LaCd10In | PBE | optimized geometry

Summary:
As for the density of states at the Fermi level: 5.12 states/eV per cell. The value obtained for the magnetization is 0.000 μB/cell. The calculation puts the total energy at -1.478 eV per atom. The calculation puts the energy of formation from the pure elements at -0.08 eV/atom. Its space-group type is Pmmm.

The structure in extended XYZ format:
```
12
Lattice="4.887 0.000 0.000 0.000 6.034 0.000 0.000 0.000 10.240" Properties=species:S:1:pos:R:3 pbc="T T T"
La 0.000 0.000 0.000
Cd 0.000 0.000 3.515
Cd 0.000 0.000 6.725
Cd 0.000 3.017 1.936
Cd 0.000 3.017 8.304
Cd 2.443 0.000 5.120
Cd 2.443 1.422 2.381
Cd 2.443 1.422 7.858
Cd 2.443 3.017 0.000
Cd 2.443 4.612 2.381
Cd 2.443 4.612 7.858
In 0.000 3.017 5.120
```

---

Record 3
Pr2HPd6Au | PBE | optimized geometry

Summary:
As for the density of states at the Fermi level: 3.20 states/eV per cell. The value obtained for the magnetization is 0.000 μB/cell. The calculation puts the total energy at -5.314 eV per atom. Its space-group type is P-1.

The structure in extended XYZ format:
```
10
Lattice="5.651 0.000 0.000 2.645 5.000 0.000 2.749 1.654 6.435" Properties=species:S:1:pos:R:3 pbc="T T T"
Pr 2.903 1.753 2.072
Pr 8.142 4.900 4.364
H 0.000 0.000 0.000
Pd 5.255 4.816 5.495
Pd 3.874 2.328 5.061
Pd 4.330 4.272 0.949
Pd 6.714 2.381 5.486
Pd 7.171 4.325 1.374
Pd 5.790 1.837 0.941
Au 5.522 3.327 3.218
```

---

Record 4
Li2BePdO4 | PBE | optimized geometry

Summary:
As for the density of states at the Fermi level: 4.87 states/eV per cell. The value obtained for the magnetization is 0.902 μB/cell. The calculation puts the total energy at -5.431 eV per atom. Its space-group type is I-4. The formation energy from raw total energies comes out at -1.359 eV/atom.

The structure in extended XYZ format:
```
8
Lattice="-2.635 2.635 2.824 2.635 -2.635 2.824 2.635 2.635 -2.824" Properties=species:S:1:pos:R:3 pbc="T T T"
Li 0.000 0.000 0.000
Li 0.000 2.635 1.412
Be 2.635 0.000 1.412
Pd 0.000 0.000 2.824
O 3.476 0.882 0.313
O 0.882 1.795 -0.313
O 1.753 0.841 2.511
O -0.841 1.753 3.138
```

---

Record 5
Na2LaTl2Cd2 | PBE | optimized geometry

Summary:
As for the density of states at the Fermi level: 3.52 states/eV per cell. The value obtained for the magnetization is 0.000 μB/cell. The calculation puts the total energy at -2.196 eV per atom. The calculation puts the energy of formation from the pure elements at -0.18 eV/atom. Its space-group type is C2/m.

The structure in extended XYZ format:
```
7
Lattice="4.923 -2.555 0.000 4.923 2.555 0.000 -1.612 0.000 7.664" Properties=species:S:1:pos:R:3 pbc="T T T"
Na 0.627 0.000 1.588
Na 7.607 0.000 6.076
La 4.117 0.000 3.832
Tl 0.870 0.000 5.248
Tl 7.365 0.000 2.416
Cd 3.534 0.000 0.520
Cd 4.700 0.000 7.144
```

---

Record 6
InGa2CuPb | PBE | optimized geometry

Summary:
As for the density of states at the Fermi level: 2.17 states/eV per cell. The value obtained for the magnetization is 0.000 μB/cell. The calculation puts the total energy at -3.179 eV per atom. The calculation puts the energy of formation from the pure elements at 0.14 eV/atom. Its space-group type is P4/mmm.

The structure in extended XYZ format:
```
5
Lattice="4.800 0.000 0.000 0.000 4.800 0.000 0.000 0.000 5.194" Properties=species:S:1:pos:R:3 pbc="T T T"
In 0.000 0.000 0.000
Ga 0.000 2.400 2.597
Ga 2.400 0.000 2.597
Cu 0.000 0.000 2.597
Pb 2.400 2.400 0.000
```

---

Record 7
Ho3Er5Tm2 | PBE | optimized geometry

Summary:
As for the density of states at the Fermi level: 34.73 states/eV per cell. The value obtained for the magnetization is 0.000 μB/cell. The calculation puts the distance to the lowest polymorph of the same formula at 0.00 kcal/mol of atoms. The calculation puts the total energy at -4.344 eV per atom. The calculation puts the energy of formation from the pure elements at 0.21 eV/atom. Its space-group type is C2/c.

The structure in extended XYZ format:
```
20
Lattice="5.264 -7.740 0.000 5.264 7.740 0.000 -5.241 0.000 7.737" Properties=species:S:1:pos:R:3 pbc="T T T"
Ho 1.260 1.927 0.357
Ho 1.333 4.164 5.803
Ho -1.360 -1.927 4.226
Ho 6.647 1.927 3.512
Ho 3.954 -4.164 1.934
Ho 4.026 -1.927 7.381
Er 1.333 7.349 5.803
Er -1.289 1.817 5.993
Er 3.954 3.516 1.934
Er 1.331 -1.817 2.124
Er 3.954 0.441 1.934
Er 1.333 -0.441 5.803
Er 3.955 1.817 5.614
Er 1.333 -3.516 5.803
Er 6.576 -1.817 1.745
Er 3.954 -7.349 1.934
Tm 1.265 1.863 3.497
Tm -1.355 -1.863 7.366
Tm 6.642 1.863 0.372
Tm 4.021 -1.863 4.241
```

---

Record 8
BaZn2AgPt | PBE | optimized geometry

Summary:
As for the density of states at the Fermi level: 2.28 states/eV per cell. The value obtained for the magnetization is 0.000 μB/cell. The calculation puts the total energy at -3.015 eV per atom. The calculation puts the energy of formation from the pure elements at -0.34 eV/atom. Its space-group type is P4/mmm.

The structure in extended XYZ format:
```
5
Lattice="4.886 0.000 0.000 0.000 4.886 0.000 0.000 0.000 5.376" Properties=species:S:1:pos:R:3 pbc="T T T"
Ba 0.000 0.000 0.000
Zn 0.000 2.443 2.688
Zn 2.443 0.000 2.688
Ag 2.443 2.443 0.000
Pt 2.443 2.443 2.688
```